(1)
Crystalline InSn2Sb2 at its relaxed geometry. Source: Alexandria, functional GGA-PBE. Values from VASP.

Polymorph energy (0 for the lowest one), kJ/mol of formula units: 0
Volume, Å³/atom: 29.20
Density, g/cm³: 6.8
Total moment, μB per formula unit: 0.00

Geometry as Quantum ESPRESSO input:
```
&SYSTEM
  ibrav = 0, nat = 10, ntyp = 3
/
ATOMIC_SPECIES
In 114.82 In.upf
Sn 118.71 Sn.upf
Sb 121.76 Sb.upf
CELL_PARAMETERS angstrom
8.577 0.000 0.000
0.000 8.577 0.000
0.000 0.000 3.969
ATOMIC_POSITIONS angstrom
In 0.000 0.000 0.000
In 4.288 4.288 0.000
Sn 1.246 3.042 1.985
Sn 3.042 7.331 1.985
Sn 5.535 1.246 1.985
Sn 7.331 5.535 1.985
Sb 1.287 5.575 0.000
Sb 3.002 1.287 0.000
Sb 5.575 7.290 0.000
Sb 7.290 3.002 0.000
```

---

(2)
Crystalline InSnSb3 at its relaxed geometry. Source: Alexandria, functional GGA-PBE. Values from VASP.

Polymorph energy (0 for the lowest one), kJ/mol of formula units: 0
Volume, Å³/atom: 36.97
Density, g/cm³: 5.4
Total moment, μB per formula unit: 0.00

Geometry as Quantum ESPRESSO input:
```
&SYSTEM
  ibrav = 0, nat = 5, ntyp = 3
/
ATOMIC_SPECIES
In 114.82 In.upf
Sn 118.71 Sn.upf
Sb 121.76 Sb.upf
CELL_PARAMETERS angstrom
5.697 0.000 0.000
0.000 5.697 0.000
0.000 0.000 5.697
ATOMIC_POSITIONS angstrom
In 0.000 0.000 0.000
Sn 2.848 2.848 2.848
Sb 0.000 2.848 2.848
Sb 2.848 0.000 2.848
Sb 2.848 2.848 0.000
```

---

(3)
Crystalline InSn2Sb at its relaxed geometry. Source: Alexandria, functional GGA-PBE. Values from VASP.

Polymorph energy (0 for the lowest one), kJ/mol of formula units: 13
Volume, Å³/atom: 27.74
Density, g/cm³: 7.1
Total moment, μB per formula unit: 0.00

Geometry as Quantum ESPRESSO input:
```
&SYSTEM
  ibrav = 0, nat = 4, ntyp = 3
/
ATOMIC_SPECIES
In 114.82 In.upf
Sn 118.71 Sn.upf
Sb 121.76 Sb.upf
CELL_PARAMETERS angstrom
5.170 0.000 0.000
0.000 5.170 0.000
0.000 0.000 4.151
ATOMIC_POSITIONS angstrom
In 0.000 0.000 0.000
Sn 0.000 2.585 2.076
Sn 2.585 0.000 2.076
Sb 2.585 2.585 0.000
```

---

(4)
Crystalline InSnSb2 at its relaxed geometry. Source: Alexandria, functional GGA-PBE. Values from VASP.

Polymorph energy (0 for the lowest one), kJ/mol of formula units: 10
Volume, Å³/atom: 37.43
Density, g/cm³: 5.3
Total moment, μB per formula unit: 0.00

Geometry as Quantum ESPRESSO input:
```
&SYSTEM
  ibrav = 0, nat = 4, ntyp = 3
/
ATOMIC_SPECIES
In 114.82 In.upf
Sn 118.71 Sn.upf
Sb 121.76 Sb.upf
CELL_PARAMETERS angstrom
4.926 0.000 0.000
-2.463 4.266 0.000
0.000 0.000 7.124
ATOMIC_POSITIONS angstrom
In 0.000 0.000 0.000
Sn 2.463 1.422 3.527
Sb 0.000 0.000 2.904
Sb 2.463 1.422 6.416
```